(1)
AlZnN2 | PBE-GGA | optimized geometry

a b c (Å): 3.1462 3.1462 15.9255
angles (deg): 90.00 90.00 120.00
Space group R3m (No. 160, hexagonal axes)
Asymmetric unit:
Al (0.0000, 0.0000, 0.0000) x3
Zn (0.0000, 0.0000, 0.5052) x3
N (0.0000, 0.0000, 0.1204) x3
N (0.0000, 0.0000, 0.6319) x3

Properties
- Energy above the lowest structure with this stoichiometry: 0 meV/atom
- Energy: -5.778 eV/atom

---

(2)
CeEr2Rh2 | PBE-GGA | optimized geometry

a b c (Å): 5.6084 4.2595 10.3411
angles (deg): 90.00 96.53 90.00
Space group P2_1/m (No. 11)
Asymmetric unit:
Ce (0.0961, 0.2500, 0.2902) x2
Er (0.2516, 0.2500, 0.9663) x2
Er (0.3873, 0.2500, 0.6190) x2
Rh (0.1593, 0.7500, 0.4644) x2
Rh (0.2596, 0.7500, 0.1446) x2

Properties
- Formation energy from the elements: -679 meV/atom
- Energy: -6.632 eV/atom

---

(3)
Li2Ag5Hg5 | PBE-GGA | optimized geometry

a b c (Å): 13.1129 4.3661 9.2706
angles (deg): 90.00 118.35 90.00
Space group C2/m (No. 12)
Asymmetric unit:
Li (0.0850, 0.0000, 0.2542) x4
Ag (0.0000, 0.5000, 0.0000) x2
Ag (0.0815, 0.5000, 0.7490) x4
Ag (0.1624, 0.5000, 0.4970) x4
Hg (0.0000, 0.0000, 0.5000) x2
Hg (0.1534, 0.0000, 0.9922) x4
Hg (0.2398, 0.5000, 0.2571) x4

Properties
- Formation energy from the elements: -76 meV/atom
- Energy: -1.709 eV/atom